No. 1
VASP calculation (PBE) on Ag5SF5 after structural relaxation.

Lattice parameters (Å, degrees): 4.941 6.126 7.090 106.12 90.00 113.78
Atoms (fractional coordinates):
1 F 0.687 0.374 0.859
2 F 0.290 0.580 0.643
3 F 0.000 0.000 0.500
4 F 0.710 0.420 0.357
5 F 0.313 0.626 0.141
6 Ag 0.843 0.686 0.672
7 Ag 0.157 0.314 0.328
8 Ag 0.153 0.306 0.819
9 Ag 0.500 0.000 0.000
10 Ag 0.847 0.694 0.181
11 S 0.000 0.000 0.000

Calculated values
energy relative to the elements, uncorrected = -892 meV per atom


No. 2
VASP calculation (PBE) on Pm3TmTl4Te8 after structural relaxation.

Lattice parameters (Å, degrees): 9.024 9.700 9.023 117.73 120.00 90.00
Atoms (fractional coordinates):
1 Tm 0.000 0.500 0.000
2 Tl 0.500 0.000 0.000
3 Tl 0.000 0.000 0.000
4 Tl 0.500 0.000 0.500
5 Tl 0.000 0.000 0.500
6 Pm 0.500 0.500 0.500
7 Pm 0.500 0.500 0.000
8 Pm 0.000 0.500 0.500
9 Te 0.747 0.716 0.981
10 Te 0.253 0.284 0.019
11 Te 0.235 0.716 0.981
12 Te 0.765 0.284 0.019
13 Te 0.765 0.284 0.531
14 Te 0.235 0.716 0.469
15 Te 0.740 0.720 0.480
16 Te 0.260 0.280 0.520

Calculated values
energy relative to the elements, uncorrected = -1061 meV per atom


No. 3
VASP calculation (PBE) on Nd4TlCdHg2 after structural relaxation.

Lattice parameters (Å, degrees): 5.459 5.459 9.482 73.27 73.27 60.00
Atoms (fractional coordinates):
1 Cd 0.500 0.500 0.500
2 Nd 0.625 0.625 0.126
3 Nd 0.875 0.875 0.376
4 Nd 0.375 0.375 0.874
5 Nd 0.125 0.125 0.624
6 Hg 0.248 0.248 0.256
7 Hg 0.752 0.752 0.744
8 Tl 0.000 0.000 0.000

Calculated values
formation energy = -314.2 kJ/mol of formula units


No. 4
VASP calculation (PBE) on TbPmSb2 after structural relaxation.

Lattice parameters (Å, degrees): 3.361 5.757 5.757 90.00 90.00 90.00
Atoms (fractional coordinates):
1 Sb 0.000 0.500 0.000
2 Sb 0.000 0.000 0.500
3 Pm 0.500 0.500 0.500
4 Tb 0.500 0.000 0.000

Calculated values
energy relative to the elements, uncorrected = -891 meV per atom


No. 5
VASP calculation (PBE) on LiReAu2 after structural relaxation.

Lattice parameters (Å, degrees): 2.710 2.710 8.746 90.00 90.00 90.00
Atoms (fractional coordinates):
1 Re 0.500 0.500 0.741
2 Au 0.500 0.500 0.269
3 Au 0.000 0.000 0.992
4 Li 0.000 0.000 0.498

Calculated values
formation energy = 84.9 kJ/mol of formula units


No. 6
VASP calculation (PBE) on Pr2YBi3 after structural relaxation.

Lattice parameters (Å, degrees): 4.592 6.497 7.948 114.12 106.79 90.00
Atoms (fractional coordinates):
1 Pr 0.832 0.832 0.164
2 Pr 0.168 0.168 0.836
3 Bi 0.500 0.000 0.500
4 Bi 0.161 0.661 0.823
5 Bi 0.839 0.339 0.177
6 Y 0.500 0.500 0.500

Calculated values
formation energy = -539.6 kJ/mol of formula units


No. 7
VASP calculation (PBE) on RbSnB after structural relaxation.

Lattice parameters (Å, degrees): 3.269 5.074 13.776 118.07 90.00 108.79
Atoms (fractional coordinates):
1 Rb 0.996 0.992 0.815
2 Rb 0.004 0.008 0.185
3 Sn 0.586 0.172 0.618
4 Sn 0.414 0.828 0.382
5 B 0.725 0.450 0.500
6 B 0.275 0.550 0.500

Calculated values
formation energy = 92.7 kJ/mol of formula units


No. 8
VASP calculation (PBE) on SmGaRu after structural relaxation.

Lattice parameters (Å, degrees): 3.778 4.365 4.365 120.00 90.00 90.00
Atoms (fractional coordinates):
1 Ga 0.167 0.667 0.333
2 Sm 0.667 0.333 0.667
3 Ru 0.167 0.000 0.000

Calculated values
formation energy = -121.7 kJ/mol of formula units


No. 9
VASP calculation (PBE) on UCoNi after structural relaxation.

Lattice parameters (Å, degrees): 2.928 2.928 5.481 105.49 105.49 90.00
Atoms (fractional coordinates):
1 Ni 0.014 0.014 0.027
2 Co 0.657 0.657 0.315
3 U 0.329 0.329 0.658

Calculated values
formation energy = 8.5 kJ/mol of formula units


No. 10
VASP calculation (PBE) on LiTlIn after structural relaxation.

Lattice parameters (Å, degrees): 4.711 4.711 4.711 60.00 60.00 60.00
Atoms (fractional coordinates):
1 Tl 0.000 0.000 0.000
2 In 0.500 0.500 0.500
3 Li 0.750 0.750 0.750

Calculated values
formation energy = -12.6 kJ/mol of formula units


No. 11
VASP calculation (PBE) on Li2Dy3Au3 after structural relaxation.

Lattice parameters (Å, degrees): 5.583 8.568 8.568 120.00 90.00 90.00
Atoms (fractional coordinates):
1 Au 0.250 0.397 0.000
2 Au 0.250 0.000 0.397
3 Au 0.750 0.000 0.603
4 Au 0.750 0.603 0.000
5 Au 0.750 0.397 0.397
6 Au 0.250 0.603 0.603
7 Li 0.000 0.333 0.667
8 Li 0.500 0.333 0.667
9 Li 0.000 0.667 0.333
10 Li 0.500 0.667 0.333
11 Dy 0.750 0.746 0.746
12 Dy 0.750 0.254 0.000
13 Dy 0.250 0.000 0.746
14 Dy 0.250 0.254 0.254
15 Dy 0.750 0.000 0.254
16 Dy 0.250 0.746 0.000

Calculated values
formation energy = -512.2 kJ/mol of formula units